## AlCuAg2 (meta-GGA SCAN)

Data for a crystal of AlCuAg2 relaxed with PBEsol.

Cell lengths 3.8500, 3.8500, 7.9821 Å; angles 90.00, 90.00, 90.00 degrees
With the nearest neighbours (Å) after each atom.
Space group I-4m2 (No. 119)
Asymmetric unit:
Al1 0.0000 0.0000 0.0000 [2 per cell]  8 Ag 2.72-2.77, 4 Cu 2.77
Cu1 0.0000 0.5000 0.2500 [2 per cell]  8 Ag 2.72-2.77, 4 Al 2.77
Ag1 0.0000 0.0000 0.5000 [2 per cell]  4 Al 2.72, 4 Cu 2.77, 4 Ag 2.77
Ag2 0.0000 0.5000 0.7500 [2 per cell]  4 Cu 2.72, 4 Al 2.77, 4 Ag 2.77

Mass density, g cm⁻³: 8.60
Crystal system: tetragonal
Formation energy from the elements, eV per atom: -0.077